Record 1
# KRb2Na

A relaxed structure of KRb2Na (PBE, Alexandria).

Computed properties:
* final energy: -12.45 eV/cell
* DFT formation energy: 50 meV/atom

Structure (CIF):
```
data_KRb2Na
_symmetry_space_group_name_H-M 'R 3 m'
_symmetry_Int_Tables_number 160
_symmetry_space_group_name_Hall 'R 3 -2"'
_cell_length_a 4.7703
_cell_length_b 4.7703
_cell_length_c 43.9707
_cell_angle_alpha 90.00
_cell_angle_beta 90.00
_cell_angle_gamma 120.00
loop_
_atom_site_label
_atom_site_fract_x
_atom_site_fract_y
_atom_site_fract_z
K1 0.0000 0.0000 0.0000
Rb1 0.0000 0.0000 0.2419
Rb2 0.0000 0.0000 0.4250
Na1 0.0000 0.0000 0.8334
```

Record 2
# LiTeW2

A relaxed structure of LiTeW2 (PBE, Alexandria).

Computed properties:
* formation energy from raw total energies: 0.60 eV per atom
* final energy: -57.15 eV/cell

Structure (CIF):
```
data_LiTeW2
_symmetry_space_group_name_H-M 'I 4/m m m'
_symmetry_Int_Tables_number 139
_symmetry_space_group_name_Hall '-I 4 2'
_cell_length_a 3.8069
_cell_length_b 3.8069
_cell_length_c 9.4607
_cell_angle_alpha 90.00
_cell_angle_beta 90.00
_cell_angle_gamma 90.00
loop_
_atom_site_label
_atom_site_fract_x
_atom_site_fract_y
_atom_site_fract_z
Li1 0.0000 0.0000 0.0000
Te1 0.0000 0.0000 0.5000
W1 0.0000 0.5000 0.2500
```